No. 1
Computed, not measured: an optimized crystal structure of Ti2CdOs2 at the PBE level of DFT. Values from VASP.

## Properties
The calculation puts the formation energy at -59.6 meV per atom. The calculation puts the density of states at the Fermi level at 7.40 states/eV per cell. The relative energy among the computed polymorphs comes out at 0.42 eV/f.u. For the spin magnetization, the calculation gives 0.00 Bohr magnetons per cell.

The structure in Quantum ESPRESSO input format:
```
&SYSTEM
  ibrav = 0, nat = 10, ntyp = 3
/
ATOMIC_SPECIES
Cd 112.41 Cd.upf
Os 190.23 Os.upf
Ti 47.87 Ti.upf
CELL_PARAMETERS angstrom
7.565 0.000 0.000
0.000 7.565 0.000
0.000 0.000 2.919
ATOMIC_POSITIONS angstrom
Cd 3.782 3.782 0.000
Os 6.411 2.628 1.460
Os 4.937 6.411 1.460
Os 1.154 4.937 1.460
Ti 4.846 1.064 0.000
Os 2.628 1.154 1.460
Ti 2.719 6.501 0.000
Cd 0.000 0.000 0.000
Ti 1.064 2.719 0.000
Ti 6.501 4.846 0.000
```

No. 2
Computed, not measured: an optimized crystal structure of TiCd2Os2 at the PBE level of DFT. Values from VASP.

## Properties
The calculation puts the formation energy at 738.6 meV per atom. The calculation puts the density of states at the Fermi level at 5.75 states/eV per cell. For the spin magnetization, the calculation gives 0.00 Bohr magnetons per cell.

The structure in Quantum ESPRESSO input format:
```
&SYSTEM
  ibrav = 0, nat = 5, ntyp = 3
/
ATOMIC_SPECIES
Cd 112.41 Cd.upf
Os 190.23 Os.upf
Ti 47.87 Ti.upf
CELL_PARAMETERS angstrom
3.641 0.000 0.000
0.000 3.641 0.000
1.820 1.820 7.052
ATOMIC_POSITIONS angstrom
Cd 1.820 3.641 3.526
Cd 3.641 1.820 3.526
Os 3.641 3.641 5.847
Ti 0.000 0.000 0.000
Os 1.820 1.820 1.205
```

No. 3
Computed, not measured: an optimized crystal structure of Ti5CdOs4 at the PBE level of DFT. Values from VASP.

## Properties
The calculation puts the formation energy at -549.9 meV per atom. The calculation puts the density of states at the Fermi level at 5.30 states/eV per cell. For the spin magnetization, the calculation gives 0.00 Bohr magnetons per cell.

The structure in Quantum ESPRESSO input format:
```
&SYSTEM
  ibrav = 0, nat = 10, ntyp = 3
/
ATOMIC_SPECIES
Cd 112.41 Cd.upf
Os 190.23 Os.upf
Ti 47.87 Ti.upf
CELL_PARAMETERS angstrom
3.096 0.000 0.000
0.000 3.096 0.000
0.000 0.000 16.267
ATOMIC_POSITIONS angstrom
Cd 0.000 0.000 0.000
Os 0.000 0.000 12.796
Ti 1.548 1.548 11.220
Os 0.000 0.000 6.587
Ti 1.548 1.548 14.291
Ti 1.548 1.548 1.976
Ti 1.548 1.548 8.133
Os 0.000 0.000 3.471
Os 0.000 0.000 9.680
Ti 1.548 1.548 5.047
```

No. 4
Computed, not measured: an optimized crystal structure of Ti2CdOs2 at the PBE level of DFT. Values from VASP.

## Properties
The calculation puts the formation energy at 207.5 meV per atom. The calculation puts the density of states at the Fermi level at 5.82 states/eV per cell. The relative energy among the computed polymorphs comes out at 1.76 eV/f.u. For the spin magnetization, the calculation gives 0.00 Bohr magnetons per cell.

The structure in Quantum ESPRESSO input format:
```
&SYSTEM
  ibrav = 0, nat = 5, ntyp = 3
/
ATOMIC_SPECIES
Ti 47.87 Ti.upf
Os 190.23 Os.upf
Cd 112.41 Cd.upf
CELL_PARAMETERS angstrom
3.857 0.000 0.000
0.000 3.857 0.000
1.929 1.929 6.411
ATOMIC_POSITIONS angstrom
Ti 3.857 3.857 4.852
Os 3.857 1.929 3.205
Os 1.929 3.857 3.205
Ti 1.929 1.929 1.558
Cd 0.000 0.000 0.000
```

No. 5
Computed, not measured: an optimized crystal structure of Ti2CdOs2 at the PBE level of DFT. Values from VASP.

## Properties
The calculation puts the formation energy at -144.0 meV per atom. The calculation puts the density of states at the Fermi level at 13.51 states/eV per cell. The relative energy among the computed polymorphs comes out at 0.00 eV/f.u. For the spin magnetization, the calculation gives 0.00 Bohr magnetons per cell.

The structure in Quantum ESPRESSO input format:
```
&SYSTEM
  ibrav = 0, nat = 10, ntyp = 3
/
ATOMIC_SPECIES
Os 190.23 Os.upf
Ti 47.87 Ti.upf
Cd 112.41 Cd.upf
CELL_PARAMETERS angstrom
-2.203 5.562 -4.490
-6.791 -3.096 -0.503
-0.893 1.571 2.385
ATOMIC_POSITIONS angstrom
Os -2.376 3.131 -2.953
Os -6.249 2.787 -4.177
Ti -5.194 -0.392 0.190
Ti -2.238 2.266 -0.454
Cd -4.497 1.233 -2.497
Ti -4.693 4.429 -2.799
Ti -7.650 1.772 -2.156
Os -6.618 -0.664 -2.041
Cd 0.000 0.000 0.000
Os -2.745 -0.321 -0.817
```

No. 6
Computed, not measured: an optimized crystal structure of Ti2CdOs at the PBE level of DFT. Values from VASP.

## Properties
The calculation puts the formation energy at 245.9 meV per atom. The calculation puts the density of states at the Fermi level at 4.88 states/eV per cell. For the spin magnetization, the calculation gives 0.00 Bohr magnetons per cell.

The structure in Quantum ESPRESSO input format:
```
&SYSTEM
  ibrav = 0, nat = 8, ntyp = 3
/
ATOMIC_SPECIES
Cd 112.41 Cd.upf
Ti 47.87 Ti.upf
Os 190.23 Os.upf
CELL_PARAMETERS angstrom
7.306 0.000 0.000
0.000 7.306 0.000
3.653 3.653 2.766
ATOMIC_POSITIONS angstrom
Cd 3.653 7.306 1.383
Ti 9.132 9.453 2.075
Ti 1.505 5.479 0.692
Cd 3.653 3.653 0.000
Os 0.000 0.000 0.000
Ti 5.479 5.158 2.075
Os 7.306 3.653 1.383
Ti 5.800 1.826 0.692
```

No. 7
Computed, not measured: an optimized crystal structure of Ti2CdOs at the PBE level of DFT. Values from VASP.

## Properties
The calculation puts the formation energy at -309.3 meV per atom. The calculation puts the density of states at the Fermi level at 2.84 states/eV per cell. For the spin magnetization, the calculation gives 0.00 Bohr magnetons per cell.

The structure in Quantum ESPRESSO input format:
```
&SYSTEM
  ibrav = 0, nat = 4, ntyp = 3
/
ATOMIC_SPECIES
Os 190.23 Os.upf
Cd 112.41 Cd.upf
Ti 47.87 Ti.upf
CELL_PARAMETERS angstrom
3.106 0.000 0.000
0.000 3.106 0.000
0.000 0.000 6.963
ATOMIC_POSITIONS angstrom
Os 1.553 1.553 0.000
Cd 1.553 1.553 3.482
Ti 0.000 0.000 1.511
Ti 0.000 0.000 5.452
```

No. 8
Computed, not measured: an optimized crystal structure of Ti2CdOs at the PBE level of DFT. Values from VASP.

## Properties
The calculation puts the formation energy at -182.3 meV per atom. The calculation puts the density of states at the Fermi level at 2.22 states/eV per cell. For the spin magnetization, the calculation gives 0.00 Bohr magnetons per cell.

The structure in Quantum ESPRESSO input format:
```
&SYSTEM
  ibrav = 0, nat = 4, ntyp = 3
/
ATOMIC_SPECIES
Os 190.23 Os.upf
Cd 112.41 Cd.upf
Ti 47.87 Ti.upf
CELL_PARAMETERS angstrom
-1.759 1.757 1.971
2.350 -1.621 3.543
2.969 3.424 -0.403
ATOMIC_POSITIONS angstrom
Os -0.879 0.878 0.985
Cd 1.780 1.780 2.555
Ti 1.175 -0.811 1.771
Ti 1.484 1.712 -0.201
```

No. 9
Computed, not measured: an optimized crystal structure of Zr2TiCdOs at the PBE level of DFT. Values from VASP.

## Properties
The calculation puts the formation energy at 797.4 meV per atom. The calculation puts the density of states at the Fermi level at 5.48 states/eV per cell. For the spin magnetization, the calculation gives 0.00 Bohr magnetons per cell.

The structure in Quantum ESPRESSO input format:
```
&SYSTEM
  ibrav = 0, nat = 5, ntyp = 4
/
ATOMIC_SPECIES
Zr 91.22 Zr.upf
Cd 112.41 Cd.upf
Os 190.23 Os.upf
Ti 47.87 Ti.upf
CELL_PARAMETERS angstrom
4.953 0.000 0.000
0.000 4.551 0.000
0.000 0.000 4.953
ATOMIC_POSITIONS angstrom
Zr 0.000 0.000 2.476
Cd 2.476 2.276 2.476
Os 0.000 2.276 0.000
Zr 2.476 0.000 0.000
Ti 0.000 0.000 0.000
```

No. 10
Computed, not measured: an optimized crystal structure of Tl2CdOs at the PBE level of DFT. Values from VASP.

## Properties
The calculation puts the formation energy at 796.8 meV per atom. The calculation puts the density of states at the Fermi level at 2.06 states/eV per cell. The relative energy among the computed polymorphs comes out at 0.97 eV/f.u. For the spin magnetization, the calculation gives 0.00 Bohr magnetons per cell.

The structure in Quantum ESPRESSO input format:
```
&SYSTEM
  ibrav = 0, nat = 4, ntyp = 3
/
ATOMIC_SPECIES
Cd 112.41 Cd.upf
Os 190.23 Os.upf
Tl 204.38 Tl.upf
CELL_PARAMETERS angstrom
3.526 0.000 0.000
0.000 3.526 0.000
0.000 0.000 6.921
ATOMIC_POSITIONS angstrom
Cd 1.763 1.763 1.730
Os 1.763 1.763 5.191
Tl 0.000 0.000 3.638
Tl 0.000 0.000 6.744
```

No. 11
Computed, not measured: an optimized crystal structure of Tl2CdOs at the PBE level of DFT. Values from VASP.

## Properties
The calculation puts the formation energy at 815.6 meV per atom. The calculation puts the density of states at the Fermi level at 2.43 states/eV per cell. The relative energy among the computed polymorphs comes out at 1.05 eV/f.u. For the spin magnetization, the calculation gives 0.00 Bohr magnetons per cell.

The structure in Quantum ESPRESSO input format:
```
&SYSTEM
  ibrav = 0, nat = 4, ntyp = 3
/
ATOMIC_SPECIES
Cd 112.41 Cd.upf
Tl 204.38 Tl.upf
Os 190.23 Os.upf
CELL_PARAMETERS angstrom
-2.552 0.565 4.623
-0.976 -4.829 1.982
4.484 2.196 -1.809
ATOMIC_POSITIONS angstrom
Cd 0.873 -2.383 1.738
Tl 0.000 0.000 0.000
Tl -1.764 -2.132 3.303
Os 0.085 0.314 3.058
```

No. 12
Computed, not measured: an optimized crystal structure of Tl2CdOs at the PBE level of DFT. Values from VASP.

## Properties
The calculation puts the formation energy at 570.1 meV per atom. The calculation puts the density of states at the Fermi level at 3.32 states/eV per cell. The relative energy among the computed polymorphs comes out at 0.07 eV/f.u. For the spin magnetization, the calculation gives 0.29 Bohr magnetons per cell.

The structure in Quantum ESPRESSO input format:
```
&SYSTEM
  ibrav = 0, nat = 4, ntyp = 3
/
ATOMIC_SPECIES
Cd 112.41 Cd.upf
Os 190.23 Os.upf
Tl 204.38 Tl.upf
CELL_PARAMETERS angstrom
-4.677 5.649 0.737
-6.359 3.642 -0.792
-2.589 -0.723 3.797
ATOMIC_POSITIONS angstrom
Cd -6.222 3.584 2.140
Os -10.240 6.452 2.797
Tl -3.445 2.188 0.918
Tl -3.118 -0.095 3.555
```

| no. | total DFT energy (no corrections) (eV per atom) | theoretical density (kg/m3) |
| --- | --- | --- |
| 1 | -7.892 | 11700 |
| 2 | -5.698 | 11603 |
| 3 | -9.081 | 11848 |
| 4 | -7.625 | 10248 |
| 5 | -7.977 | 11674 |
| 6 | -6.738 | 8962 |
| 7 | -7.293 | 9845 |
| 8 | -7.166 | 10073 |
| 9 | -6.630 | 7927 |
| 10 | -3.423 | 13728 |
| 11 | -3.404 | 14222 |
| 12 | -3.649 | 12264 |